12
Lattice="-1.037 -2.102 5.775 -1.996 -3.275 -4.912 11.106 -3.956 -0.562" Properties=species:S:1:pos:R:3 comment="Pm3Nd2SmHo6 (GGA-PBE, optimized geometry)" magnetic_moment_mub_per_fu=0.00 energy_ha_per_atom=-0.171 formation_enthalpy_0k_ev_per_atom=0.013 crystal_system=monoclinic spacegroup="No. 12" pbc="T T T"
Ho 7.568 -4.306 -0.206
Ho 5.892 -7.193 -1.555
Ho 6.211 -6.802 2.005
Ho 0.505 -5.026 0.506
Ho 1.861 -2.531 -1.705
Ho 2.181 -2.140 1.855
Nd -1.677 -2.884 -1.349
Nd -1.357 -2.493 2.211
Pm 3.717 -5.057 -3.411
Pm 4.356 -4.275 3.711
Pm 4.036 -4.666 0.150
Sm 0.000 0.000 0.000